Below is Li6V3P8O29 after structural relaxation, with properties calculated at the PBE with a Hubbard U level.

Cell lengths 9.8216, 9.8347, 14.0259 Å; angles 88.99, 88.94, 60.24 degrees
Atoms (fractional coordinates):
Li 0.0000 0.0000 0.0000
Li 0.0005 0.4473 0.0521
Li 0.0036 0.9916 0.5008
Li 0.3658 0.7667 0.6743
Li 0.3700 0.9035 0.1749
Li 0.4430 0.0010 0.5555
Li 0.4450 0.5817 0.0571
Li 0.5793 0.9991 0.0421
Li 0.5835 0.4476 0.5544
Li 0.7649 0.3696 0.1731
Li 0.9026 0.3750 0.6748
Li 0.9978 0.5772 0.5420
V 0.1063 0.2504 0.8622
V 0.1098 0.6753 0.3569
V 0.2380 0.6785 0.8625
V 0.2478 0.1093 0.3621
V 0.6744 0.1129 0.8562
V 0.6775 0.2408 0.3613
P 0.0013 0.4415 0.2683
P 0.0111 0.0167 0.7396
P 0.0178 0.0097 0.2395
P 0.3398 0.3435 0.4844
P 0.3445 0.3458 0.9847
P 0.3459 0.9116 0.9562
P 0.3543 0.7651 0.4567
P 0.4416 0.0005 0.7728
P 0.4493 0.5891 0.2736
P 0.5880 0.4513 0.7708
P 0.5943 0.9997 0.2608
P 0.7631 0.8981 0.4440
P 0.7643 0.3552 0.9543
P 0.8947 0.7651 0.9427
P 0.9104 0.3469 0.4515
P 0.9986 0.5945 0.7605
O 0.0060 0.1705 0.7743
O 0.0075 0.4326 0.7781
O 0.0149 0.0121 0.6328
O 0.0192 0.5861 0.2726
O 0.0193 0.8606 0.2840
O 0.0234 0.0074 0.1327
O 0.0440 0.7858 0.9370
O 0.0516 0.1803 0.4355
O 0.1582 0.5815 0.7826
O 0.1593 0.8677 0.7813
O 0.1600 0.2904 0.2834
O 0.1700 0.0052 0.2784
O 0.1798 0.0512 0.9370
O 0.1899 0.7843 0.4412
O 0.1916 0.4929 0.4418
O 0.1939 0.3438 0.9525
O 0.2907 0.1607 0.7941
O 0.3039 0.5714 0.2869
O 0.3303 0.3370 0.5902
O 0.3355 0.7602 0.9599
O 0.3412 0.1934 0.4407
O 0.3406 0.9282 0.4567
O 0.3421 0.4967 0.9373
O 0.3557 0.3555 0.0897
O 0.4216 0.9292 0.6840
O 0.4220 0.9316 0.0429
O 0.4281 0.6029 0.7734
O 0.4318 0.6724 0.5456
O 0.4335 0.0091 0.2733
O 0.4441 0.6783 0.1840
O 0.4557 0.8919 0.8640
O 0.4640 0.6778 0.3654
O 0.4908 0.3456 0.4481
O 0.4927 0.1970 0.9412
O 0.5717 0.3050 0.7847
O 0.5804 0.1595 0.2920
O 0.5842 0.0214 0.7722
O 0.6016 0.4272 0.2759
O 0.6531 0.9065 0.5202
O 0.6644 0.9520 0.1645
O 0.6731 0.4339 0.0433
O 0.6795 0.4429 0.6814
O 0.6799 0.4632 0.8629
O 0.7052 0.8784 0.3401
O 0.7514 0.9316 0.9486
O 0.7593 0.3327 0.4539
O 0.7860 0.1902 0.9403
O 0.7876 0.0438 0.4363
O 0.8604 0.0202 0.7833
O 0.8674 0.1604 0.2767
O 0.8755 0.7071 0.8395
O 0.8907 0.4543 0.3602
O 0.9002 0.6582 0.0199
O 0.9221 0.4318 0.1800
O 0.9248 0.4228 0.5397
O 0.9283 0.7526 0.4500
O 0.9299 0.3398 0.9540
O 0.9379 0.6568 0.6642

Computed properties:
Relative energy among the computed polymorphs: 5 meV per atom
Energy: -645.827 eV per cell
Calculated volume: 12.8 A^3/atom
Space group: P1, No. 1